Material: In2FeF2
Method: DFT, PBE+U
State: relaxed

Output
* DOS at the Fermi energy: 0.338 states/eV per atom
* crystal system: tetragonal
* excess energy over the best structure of this formula in the dataset: 0 meV/atom

```
data_In2FeF2
_chemical_formula_sum 'In2 Fe1 F2'
_space_group_name_H-M_alt 'P 1'
_space_group_IT_number 1
_space_group_name_Hall 'P 1'
_cell_length_a 5.2409
_cell_length_b 5.2409
_cell_length_c 5.2409
_cell_angle_alpha 113.74
_cell_angle_beta 113.74
_cell_angle_gamma 101.23
loop_
_atom_site_label
_atom_site_type_symbol
_atom_site_fract_x
_atom_site_fract_y
_atom_site_fract_z
_atom_site_occupancy
In1 In 0.2500 0.7500 0.5000 1
In2 In 0.7500 0.2500 0.5000 1
Fe1 Fe 0.0000 0.0000 0.0000 1
F1 F 0.2867 0.2867 0.0000 1
F2 F 0.7133 0.7133 0.0000 1
```